Record 1
Compound: LiMg2Hg9
Source: the Alexandria database
Functional: PBE-GGA
Structure: optimized geometry

a b c (Å): 4.561 4.561 13.291
angles (deg): 90.00 90.00 90.00
Element x y z (fractional)
Hg 0.500 0.500 0.331
Hg 0.500 0.000 0.838
Hg 0.500 0.000 0.162
Hg 0.500 0.000 0.500
Hg 0.500 0.500 0.669
Hg 0.500 0.500 0.000
Hg 0.000 0.500 0.500
Hg 0.000 0.500 0.162
Li 0.000 0.000 0.000
Hg 0.000 0.500 0.838
Mg 0.000 0.000 0.330
Mg 0.000 0.000 0.670

Calculated values
total DFT energy (no corrections): -0.752 eV per atom
total magnetization: 0.000 μB/atom
formation enthalpy at 0 K: -0.101 eV/atom

***

Record 2
Compound: LiMg6Hg5
Source: the Alexandria database
Functional: PBE-GGA
Structure: optimized geometry

a b c (Å): 4.761 7.332 7.604
angles (deg): 90.00 71.76 90.00
Element x y z (fractional)
Li 0.000 0.000 0.000
Mg 0.170 0.238 0.661
Mg 0.830 0.238 0.339
Mg 0.500 0.731 0.000
Mg 0.500 0.269 0.000
Hg 0.672 0.500 0.657
Mg 0.170 0.762 0.661
Hg 0.646 0.000 0.707
Hg 0.354 0.000 0.293
Hg 0.328 0.500 0.343
Hg 0.000 0.500 0.000
Mg 0.830 0.762 0.339

Calculated values
total DFT energy (no corrections): -1.312 eV per atom
total magnetization: 0.000 μB/atom
formation enthalpy at 0 K: -0.229 eV/atom

***

Record 3
Compound: LiMgHg3
Source: the Alexandria database
Functional: PBE-GGA
Structure: optimized geometry

a b c (Å): 5.006 5.006 5.006
angles (deg): 90.00 90.00 90.00
Element x y z (fractional)
Li 0.000 0.000 0.000
Hg 0.000 0.000 0.500
Hg 0.500 0.000 0.000
Mg 0.500 0.500 0.500
Hg 0.000 0.500 0.000

Calculated values
total DFT energy (no corrections): -0.846 eV per atom
offset from the most stable computed form: 0.268 eV/atom
total magnetization: 0.000 μB/atom
formation enthalpy at 0 K: 0.037 eV/atom

***

Record 4
Compound: Li6Mg2Hg
Source: the Alexandria database
Functional: PBE-GGA
Structure: optimized geometry

a b c (Å): 4.936 5.223 7.806
angles (deg): 70.45 81.82 64.82
Element x y z (fractional)
Li 0.339 0.325 0.500
Hg 0.000 0.000 0.500
Li 0.156 0.514 0.816
Mg 0.500 0.174 0.153
Mg 0.500 0.826 0.847
Li 0.661 0.675 0.500
Li 0.844 0.170 0.816
Li 0.844 0.486 0.184
Li 0.156 0.830 0.184

Calculated values
total DFT energy (no corrections): -1.784 eV per atom
offset from the most stable computed form: 0.000 eV/atom
total magnetization: 0.000 μB/atom
formation enthalpy at 0 K: -0.120 eV/atom

***

Record 5
Compound: Li2Mg8Hg
Source: the Alexandria database
Functional: PBE-GGA
Structure: optimized geometry

a b c (Å): 5.098 5.576 8.806
angles (deg): 93.56 106.82 90.00
Element x y z (fractional)
Li 0.232 0.357 0.464
Mg 0.322 0.903 0.645
Mg 0.856 0.200 0.711
Li 0.768 0.643 0.536
Mg 0.144 0.800 0.289
Hg 0.500 0.000 0.000
Mg 0.952 0.737 0.904
Mg 0.410 0.440 0.820
Mg 0.678 0.097 0.355
Mg 0.048 0.263 0.096
Mg 0.590 0.560 0.180

Calculated values
total DFT energy (no corrections): -1.588 eV per atom
offset from the most stable computed form: 0.023 eV/atom
total magnetization: 0.000 μB/atom
formation enthalpy at 0 K: -0.053 eV/atom

***

Record 6
Compound: Li2Mg4Hg3
Source: the Alexandria database
Functional: PBE-GGA
Structure: optimized geometry

a b c (Å): 4.833 4.837 8.810
angles (deg): 89.91 90.00 60.03
Element x y z (fractional)
Hg 0.334 0.332 0.422
Mg 0.998 0.003 0.674
Mg 0.002 0.997 0.326
Mg 0.666 0.668 0.901
Mg 0.334 0.332 0.099
Hg 0.666 0.668 0.578
Li 0.332 0.337 0.758
Hg 0.000 0.000 0.000
Li 0.668 0.663 0.242

Calculated values
total DFT energy (no corrections): -1.476 eV per atom
total magnetization: 0.000 μB/atom
formation enthalpy at 0 K: -0.241 eV/atom

***

Record 7
Compound: Li7MgHg3
Source: the Alexandria database
Functional: PBE-GGA
Structure: optimized geometry

a b c (Å): 3.263 11.507 11.304
angles (deg): 90.00 90.00 98.15
Element x y z (fractional)
Li 0.612 0.223 0.250
Li 0.795 0.591 0.893
Li 0.507 0.015 0.879
Li 0.493 0.985 0.379
Li 0.795 0.591 0.607
Li 0.493 0.985 0.121
Li 0.507 0.015 0.621
Hg 0.916 0.831 0.970
Hg 0.774 0.548 0.250
Li 0.388 0.777 0.750
Li 0.667 0.334 0.585
Hg 0.084 0.169 0.030
Hg 0.226 0.452 0.750
Mg 0.097 0.193 0.750
Mg 0.903 0.807 0.250
Li 0.333 0.666 0.085
Hg 0.084 0.169 0.470
Li 0.667 0.334 0.915
Li 0.205 0.409 0.393
Li 0.333 0.666 0.415
Hg 0.916 0.831 0.530
Li 0.205 0.409 0.107

Calculated values
total DFT energy (no corrections): -1.670 eV per atom
total magnetization: 0.000 μB/atom
formation enthalpy at 0 K: -0.224 eV/atom

***

Record 8
Compound: Li3MgHg12
Source: the Alexandria database
Functional: PBE-GGA
Structure: optimized geometry

a b c (Å): 4.415 4.415 18.634
angles (deg): 90.00 90.00 90.00
Element x y z (fractional)
Hg 0.500 0.500 0.747
Hg 0.500 0.000 0.871
Hg 0.500 0.500 0.000
Li 0.000 0.000 0.748
Li 0.000 0.000 0.252
Hg 0.500 0.000 0.623
Hg 0.500 0.500 0.500
Hg 0.000 0.500 0.871
Li 0.000 0.000 0.500
Hg 0.000 0.500 0.623
Hg 0.000 0.500 0.377
Hg 0.500 0.500 0.253
Hg 0.500 0.000 0.129
Mg 0.000 0.000 0.000
Hg 0.500 0.000 0.377
Hg 0.000 0.500 0.129

Calculated values
total DFT energy (no corrections): -0.826 eV per atom
total magnetization: 0.000 μB/atom
formation enthalpy at 0 K: -0.141 eV/atom

***

Record 9
Compound: Li2MgHg6
Source: the Alexandria database
Functional: PBE-GGA
Structure: optimized geometry

a b c (Å): 8.056 8.056 8.056
angles (deg): 103.08 112.46 113.05
Element x y z (fractional)
Hg 0.717 0.382 0.665
Li 0.660 0.000 0.660
Hg 0.717 0.052 0.335
Hg 0.801 0.246 0.047
Hg 0.199 0.754 0.953
Li 0.500 0.355 0.855
Mg 0.000 0.500 0.500
Hg 0.891 0.710 0.181
Hg 0.530 0.710 0.819
Mg 0.000 0.000 0.000
Hg 0.801 0.754 0.555
Li 0.500 0.645 0.145
Hg 0.470 0.290 0.181
Li 0.340 0.000 0.340
Hg 0.283 0.948 0.665
Hg 0.109 0.290 0.819
Hg 0.199 0.246 0.445
Hg 0.283 0.618 0.335

Calculated values
total DFT energy (no corrections): -0.980 eV per atom
offset from the most stable computed form: 0.004 eV/atom
total magnetization: 0.000 μB/atom
formation enthalpy at 0 K: -0.176 eV/atom

***

Record 10
Compound: Li3Mg2Hg2
Source: the Alexandria database
Functional: PBE-GGA
Structure: optimized geometry

a b c (Å): 4.815 4.802 7.397
angles (deg): 109.26 90.00 120.09
Element x y z (fractional)
Li 0.643 0.287 0.430
Li 0.357 0.713 0.570
Hg 0.777 0.554 0.828
Mg 0.920 0.840 0.262
Hg 0.223 0.446 0.172
Li 0.500 0.000 0.000
Mg 0.080 0.160 0.738

Calculated values
total DFT energy (no corrections): -1.627 eV per atom
offset from the most stable computed form: 0.011 eV/atom
total magnetization: 0.000 μB/atom
formation enthalpy at 0 K: -0.265 eV/atom

***

Record 11
Compound: Li7Mg2Hg
Source: the Alexandria database
Functional: PBE-GGA
Structure: optimized geometry

a b c (Å): 4.710 4.710 10.181
angles (deg): 90.00 90.00 120.00
Element x y z (fractional)
Hg 0.000 0.000 0.956
Mg 0.667 0.333 0.434
Li 0.333 0.667 0.836
Li 0.667 0.333 0.100
Mg 0.333 0.667 0.572
Li 0.000 0.000 0.654
Li 0.333 0.667 0.066
Li 0.667 0.333 0.791
Li 0.333 0.667 0.310
Li 0.000 0.000 0.264

Calculated values
total DFT energy (no corrections): -1.732 eV per atom
offset from the most stable computed form: 0.000 eV/atom
total magnetization: 0.000 μB/atom
formation enthalpy at 0 K: -0.044 eV/atom

***

Record 12
Compound: LiMg2Hg8
Source: the Alexandria database
Functional: PBE-GGA
Structure: optimized geometry

a b c (Å): 4.360 6.644 10.109
angles (deg): 112.77 102.45 90.00
Element x y z (fractional)
Hg 0.395 0.557 0.790
Hg 0.801 0.693 0.601
Hg 0.199 0.307 0.399
Hg 0.605 0.443 0.210
Li 0.500 0.000 0.000
Hg 0.983 0.249 0.967
Hg 0.361 0.054 0.722
Mg 0.200 0.764 0.400
Hg 0.017 0.751 0.033
Hg 0.639 0.946 0.278
Mg 0.800 0.236 0.600

Calculated values
total DFT energy (no corrections): -0.793 eV per atom
offset from the most stable computed form: 0.000 eV/atom
total magnetization: 0.000 μB/atom
formation enthalpy at 0 K: -0.110 eV/atom

***

Record 13
Compound: LiMgHg2
Source: the Alexandria database
Functional: PBE-GGA
Structure: optimized geometry

a b c (Å): 3.762 3.758 5.925
angles (deg): 90.00 90.00 90.00
Element x y z (fractional)
Mg 0.500 0.500 0.768
Hg 0.500 0.500 0.287
Li 0.000 0.000 0.474
Hg 0.000 0.000 0.971

Calculated values
total DFT energy (no corrections): -1.275 eV per atom
total magnetization: 0.000 μB/atom
formation enthalpy at 0 K: -0.247 eV/atom

***

Record 14
Compound: Li3Mg2Hg4
Source: the Alexandria database
Functional: PBE-GGA
Structure: optimized geometry

a b c (Å): 4.792 4.801 9.014
angles (deg): 89.85 90.05 60.03
Element x y z (fractional)
Mg 0.333 0.335 0.777
Hg 0.666 0.668 0.891
Li 0.000 0.000 0.000
Hg 0.999 0.002 0.666
Li 0.334 0.332 0.429
Hg 0.334 0.332 0.109
Li 0.666 0.668 0.571
Hg 0.001 0.998 0.334
Mg 0.667 0.665 0.223

Calculated values
total DFT energy (no corrections): -1.423 eV per atom
total magnetization: 0.000 μB/atom
formation enthalpy at 0 K: -0.297 eV/atom

***

Record 15
Compound: LiMg3Hg3
Source: the Alexandria database
Functional: PBE-GGA
Structure: optimized geometry

a b c (Å): 6.542 6.542 7.721
angles (deg): 91.89 91.89 109.55
Element x y z (fractional)
Mg 0.765 0.235 0.000
Hg 0.968 0.968 0.198
Li 0.312 0.312 0.025
Hg 0.474 0.144 0.288
Mg 0.235 0.765 0.000
Mg 0.839 0.161 0.500
Mg 0.363 0.363 0.638
Hg 0.526 0.856 0.712
Hg 0.856 0.526 0.712
Mg 0.161 0.839 0.500
Li 0.688 0.688 0.975
Mg 0.637 0.637 0.362
Hg 0.144 0.474 0.288
Hg 0.032 0.032 0.802

Calculated values
total DFT energy (no corrections): -1.257 eV per atom
offset from the most stable computed form: 0.036 eV/atom
total magnetization: 0.000 μB/atom
formation enthalpy at 0 K: -0.171 eV/atom

***

Record 16
Compound: Li7Mg3Hg
Source: the Alexandria database
Functional: PBE-GGA
Structure: optimized geometry

a b c (Å): 3.054 10.338 14.283
angles (deg): 90.00 90.00 98.49
Element x y z (fractional)
Li 0.596 0.192 0.250
Li 0.371 0.742 0.344
Mg 0.122 0.243 0.461
Li 0.371 0.742 0.156
Mg 0.878 0.757 0.961
Li 0.497 0.994 0.408
Li 0.742 0.484 0.924
Mg 0.744 0.487 0.250
Li 0.497 0.994 0.092
Hg 0.972 0.943 0.250
Li 0.258 0.516 0.076
Mg 0.122 0.243 0.039
Li 0.742 0.484 0.576
Li 0.629 0.258 0.656
Li 0.503 0.006 0.908
Li 0.503 0.006 0.592
Mg 0.878 0.757 0.539
Li 0.629 0.258 0.844
Li 0.258 0.516 0.424
Hg 0.028 0.057 0.750
Mg 0.256 0.513 0.750
Li 0.404 0.808 0.750

Calculated values
total DFT energy (no corrections): -1.723 eV per atom
offset from the most stable computed form: 0.000 eV/atom
total magnetization: 0.000 μB/atom
formation enthalpy at 0 K: -0.043 eV/atom

***

Record 17
Compound: Li2Mg2Hg
Source: the Alexandria database
Functional: PBE-GGA
Structure: optimized geometry

a b c (Å): 7.605 7.605 3.567
angles (deg): 90.00 90.00 90.00
Element x y z (fractional)
Hg 0.000 0.000 0.000
Mg 0.640 0.140 0.000
Mg 0.860 0.640 0.000
Mg 0.140 0.360 0.000
Li 0.842 0.342 0.500
Li 0.658 0.842 0.500
Li 0.342 0.158 0.500
Hg 0.500 0.500 0.000
Li 0.158 0.658 0.500
Mg 0.360 0.860 0.000

Calculated values
total DFT energy (no corrections): -1.540 eV per atom
offset from the most stable computed form: 0.131 eV/atom
total magnetization: 0.000 μB/atom
formation enthalpy at 0 K: -0.077 eV/atom

***

Record 18
Compound: LiMgHg2
Source: the Alexandria database
Functional: PBE-GGA
Structure: optimized geometry

a b c (Å): 5.049 5.049 5.533
angles (deg): 76.29 76.29 38.62
Element x y z (fractional)
Li 0.250 0.250 0.250
Mg 0.750 0.750 0.750
Hg 0.994 0.994 0.011
Hg 0.506 0.506 0.489

Calculated values
total DFT energy (no corrections): -1.235 eV per atom
total magnetization: 0.000 μB/atom
formation enthalpy at 0 K: -0.207 eV/atom

***

Record 19
Compound: Li8Mg5Hg
Source: the Alexandria database
Functional: PBE-GGA
Structure: optimized geometry

a b c (Å): 7.275 7.275 7.275
angles (deg): 108.30 111.84 108.30
Element x y z (fractional)
Li 0.552 0.903 0.898
Mg 0.500 0.000 0.500
Li 0.611 0.395 0.904
Li 0.096 0.706 0.491
Li 0.996 0.097 0.649
Li 0.784 0.294 0.389
Li 0.351 0.347 0.448
Mg 0.970 0.274 0.054
Li 0.102 0.653 0.004
Li 0.509 0.605 0.216
Mg 0.780 0.726 0.696
Hg 0.250 0.500 0.750
Mg 0.946 0.916 0.220
Mg 0.304 0.084 0.030

Calculated values
total DFT energy (no corrections): -1.691 eV per atom
total magnetization: 0.000 μB/atom
formation enthalpy at 0 K: -0.006 eV/atom

***

Record 20
Compound: LiMg2Hg4
Source: the Alexandria database
Functional: PBE-GGA
Structure: optimized geometry

a b c (Å): 5.909 5.909 5.909
angles (deg): 106.34 111.06 111.06
Element x y z (fractional)
Li 0.000 0.000 0.000
Mg 0.500 0.500 0.000
Hg 0.500 0.500 0.500
Hg 0.000 0.500 0.000
Hg 0.000 0.000 0.500
Mg 0.500 0.000 0.500
Hg 0.500 0.000 0.000

Calculated values
total DFT energy (no corrections): -1.097 eV per atom
offset from the most stable computed form: 0.000 eV/atom
total magnetization: 0.000 μB/atom
formation enthalpy at 0 K: -0.196 eV/atom